Mg2ReNi: relaxed, GGA-PBEsol.

Values from the calculation:
Symmetry = P4/mmm
Offset from the most stable computed form = 0.646 eV per formula unit
Formation energy from the elements = 0.432 eV per atom
DFT total energy = -0.1947 hartree per atom

Unit cell a=2.735 b=4.659 c=4.659 alpha=90.00 beta=90.00 gamma=90.00
Sites, in units of the cell vectors:
Mg1 0.000 0.000 0.500
Mg2 0.000 0.500 0.000
Ni1 0.500 0.500 0.500
Re1 0.500 0.000 0.000